1.
4
Lattice="-1.4513 -3.1158 -1.1147 1.9093 0.2057 -3.0610 2.8406 -1.9111 1.6434" Properties=species:S:1:pos:R:3 comment="TcNi2Mo, single point on PBEsol structure, DFT meta-GGA SCAN" final_energy_ev_per_atom=-25.55 volume_a3_per_cell=49.6 de_polymorph_mev_per_atom=44 delta_e_f_ev_per_fu=0.1 dos_ef_per_ev_fu=4.77 rho_g_cm3=10.43 pbc="T T T"
Tc 1.6493 -2.4106 -1.2661
Ni 0.9547 0.1029 -1.5305
Ni -0.7257 -1.5579 -0.5574
Mo 1.4203 -0.9555 0.8217

=====

2.
4
Lattice="3.6200 0.0000 0.0000 0.0000 3.6200 0.0000 -1.8100 -1.8100 3.7866" Properties=species:S:1:pos:R:3 comment="TcNi2Mo, single point on PBEsol structure, DFT meta-GGA SCAN" final_energy_ev_per_atom=-25.54 volume_a3_per_cell=49.6 de_polymorph_mev_per_atom=54 delta_e_f_ev_per_fu=0.1 dos_ef_per_ev_fu=4.89 rho_g_cm3=10.42 pbc="T T T"
Ni 0.0000 1.8100 1.8933
Ni 1.8100 0.0000 1.8933
Mo 0.0000 0.0000 0.0000
Tc 1.8100 1.8100 0.0000

=====

3.
6
Lattice="4.6125 0.0000 0.0000 2.3063 3.9946 0.0000 2.3063 1.3315 3.7661" Properties=species:S:1:pos:R:3 comment="TcNi4Mo, single point on PBEsol structure, DFT meta-GGA SCAN" final_energy_ev_per_atom=-22.43 volume_a3_per_cell=69.4 delta_e_f_ev_per_fu=0.0 dos_ef_per_ev_fu=6.89 rho_g_cm3=10.26 pbc="T T T"
Ni 3.4611 3.3278 2.3531
Ni 5.7640 3.3278 2.3531
Ni 4.6125 2.6630 0.4729
Ni 4.6125 1.3335 2.3531
Tc 2.3063 1.3315 0.9415
Mo 0.0000 0.0000 0.0000

=====

4.
4
Lattice="-0.1431 1.9116 -3.2430 2.0585 -2.7171 -1.6925 -3.1979 -1.8363 -0.9413" Properties=species:S:1:pos:R:3 comment="TcNiMo2, single point on PBEsol structure, DFT meta-GGA SCAN" final_energy_ev_per_atom=-30.22 volume_a3_per_cell=54.6 de_polymorph_mev_per_atom=0 delta_e_f_ev_per_fu=0.1 dos_ef_per_ev_fu=2.42 rho_g_cm3=10.61 pbc="T T T"
Ni -0.6413 -1.3209 -2.9384
Tc -0.0716 0.9558 -1.6215
Mo -1.5989 -0.9182 -0.4707
Mo 1.0292 -1.3586 -0.8463